# 1
This record from Alexandria describes a geometry-optimized PaSi4Pd4 structure. The functional is PBE.

```
PaSi4Pd4
1.0
6.0538 0.0000 0.0000
0.0000 6.0538 0.0000
0.0000 0.0000 8.1250
Pa Si Pd
2 8 8
Direct
0.2500 0.7500 0.2500 Pa
0.7500 0.2500 0.7500 Pa
0.0396 0.2500 0.0579 Si
0.2500 0.0396 0.5579 Si
0.2500 0.4604 0.5579 Si
0.4604 0.2500 0.0579 Si
0.5396 0.7500 0.9421 Si
0.7500 0.5396 0.4421 Si
0.7500 0.9604 0.4421 Si
0.9604 0.7500 0.9421 Si
0.0210 0.2500 0.3577 Pd
0.2500 0.0210 0.8577 Pd
0.2500 0.4790 0.8577 Pd
0.4790 0.2500 0.3577 Pd
0.5210 0.7500 0.6423 Pd
0.7500 0.5210 0.1423 Pd
0.7500 0.9790 0.1423 Pd
0.9790 0.7500 0.6423 Pd
```

Computed properties:
**Total DFT energy (no corrections)**: -6.276 eV/atom
**E_form (uncorrected)**: -48.5 kJ/mol of atoms
**Volume**: 16.54 A^3/atom
**Mass density**: 8.6 g/cm3
**M_tot**: 2.09 μB/cell

=====

# 2
This record from Alexandria describes a geometry-optimized Pa3Si4Pd4 structure. The functional is PBE.

```
Pa3Si4Pd4
1.0
-2.1143 3.3973 6.9645
2.1143 -3.3973 6.9645
2.1143 3.3973 -6.9645
Pa Si Pd
3 4 4
Direct
0.0000 0.0000 0.0000 Pa
0.3746 0.8746 0.5000 Pa
0.6254 0.1254 0.5000 Pa
0.2123 0.2123 0.0000 Si
0.3150 0.5000 0.8150 Si
0.6850 0.5000 0.1850 Si
0.7877 0.7877 0.0000 Si
0.0324 0.3295 0.7029 Pd
0.3733 0.6705 0.7029 Pd
0.6267 0.3295 0.2971 Pd
0.9676 0.6705 0.2971 Pd
```

Computed properties:
**Total DFT energy (no corrections)**: -7.206 eV/atom
**E_form (uncorrected)**: -72.9 kJ/mol of atoms
**Volume**: 18.19 A^3/atom
**Mass density**: 10.2 g/cm3
**M_tot**: 0.00 μB/cell

=====

# 3
This record from Alexandria describes a geometry-optimized Pa2SiPd3 structure. The functional is PBE.

```
Pa2SiPd3
1.0
0.0000 4.5015 7.8725
3.2315 0.0000 7.8725
3.2315 4.5015 0.0000
Pa Si Pd
4 2 6
Direct
0.2256 0.7744 0.7744 Pa
0.2500 0.2500 0.2500 Pa
0.7500 0.7500 0.7500 Pa
0.7744 0.2256 0.2256 Pa
0.3350 0.3350 0.6650 Si
0.6650 0.6650 0.3350 Si
0.1741 0.1741 0.8259 Pd
0.1790 0.6482 0.3518 Pd
0.3518 0.8210 0.1790 Pd
0.6482 0.1790 0.8210 Pd
0.8210 0.3518 0.6482 Pd
0.8259 0.8259 0.1741 Pd
```

Computed properties:
**Total DFT energy (no corrections)**: -7.346 eV/atom
**E_form (uncorrected)**: -65.6 kJ/mol of atoms
**Volume**: 19.09 A^3/atom
**Mass density**: 11.7 g/cm3
**M_tot**: 0.00 μB/cell

=====

# 4
This record from Alexandria describes a geometry-optimized PaSi3Pd structure. The functional is PBE.

```
PaSi3Pd
1.0
2.0535 -10.7480 0.0000
2.0535 10.7480 0.0000
0.0000 0.0000 4.0803
Pa Si Pd
2 6 2
Direct
0.1727 0.8273 0.0000 Pa
0.8273 0.1727 0.0000 Pa
0.0544 0.9456 0.5000 Si
0.2762 0.7238 0.5000 Si
0.4455 0.5545 0.0000 Si
0.5545 0.4455 0.0000 Si
0.7238 0.2762 0.5000 Si
0.9456 0.0544 0.5000 Si
0.3878 0.6122 0.5000 Pd
0.6122 0.3878 0.5000 Pd
```

Computed properties:
**Total DFT energy (no corrections)**: -6.685 eV/atom
**E_form (uncorrected)**: -47.6 kJ/mol of atoms
**Relative energy among the computed polymorphs**: 0.0000 eV per atom
**Volume**: 18.01 A^3/atom
**Mass density**: 7.8 g/cm3
**M_tot**: 0.00 μB/cell

=====

# 5
This record from Alexandria describes a geometry-optimized PaSiPd structure. The functional is PBE.

```
PaSiPd
1.0
-1.5639 1.5639 5.5957
1.5639 -1.5639 5.5957
1.5639 1.5639 -5.5957
Pa Si Pd
1 1 1
Direct
0.0000 0.0000 0.0000 Pa
0.6852 0.6852 0.0000 Si
0.2978 0.2978 0.0000 Pd
```

Computed properties:
**Total DFT energy (no corrections)**: -7.128 eV/atom
**E_form (uncorrected)**: -41.0 kJ/mol of atoms
**Volume**: 18.25 A^3/atom
**Mass density**: 11.1 g/cm3
**M_tot**: 0.74 μB/cell

=====

# 6
This record from Alexandria describes a geometry-optimized PaSi4Pd6 structure. The functional is PBE.

```
PaSi4Pd6
1.0
7.1461 0.0000 0.0000
-3.5731 6.1887 0.0000
0.0000 0.0000 3.9124
Pa Si Pd
1 4 6
Direct
0.0000 0.0000 0.0000 Pa
0.3333 0.6667 0.0000 Si
0.3899 0.1949 0.5000 Si
0.8051 0.1949 0.5000 Si
0.8051 0.6101 0.5000 Si
0.1962 0.3924 0.5000 Pd
0.1962 0.8038 0.5000 Pd
0.5337 0.0674 0.0000 Pd
0.5337 0.4663 0.0000 Pd
0.6076 0.8038 0.5000 Pd
0.9326 0.4663 0.0000 Pd
```

Computed properties:
**Total DFT energy (no corrections)**: -6.344 eV/atom
**E_form (uncorrected)**: -65.2 kJ/mol of atoms
**Volume**: 15.73 A^3/atom
**Mass density**: 9.4 g/cm3
**M_tot**: 0.48 μB/cell

=====

# 7
This record from Alexandria describes a geometry-optimized SmPaSiPd structure. The functional is PBE.

```
SmPaSiPd
1.0
0.0000 3.5590 3.5590
3.5590 0.0000 3.5590
3.5590 3.5590 0.0000
Sm Pa Si Pd
1 1 1 1
Direct
0.0000 0.0000 0.0000 Sm
0.5000 0.5000 0.5000 Pa
0.7500 0.7500 0.7500 Si
0.2500 0.2500 0.2500 Pd
```

Computed properties:
**Total DFT energy (no corrections)**: -6.552 eV/atom
**E_form (uncorrected)**: -33.2 kJ/mol of atoms
**Volume**: 22.54 A^3/atom
**Mass density**: 9.5 g/cm3
**M_tot**: 1.96 μB/cell

=====

# 8
This record from Alexandria describes a geometry-optimized PaTaSi2Pd structure. The functional is PBE.

```
PaTaSi2Pd
1.0
-2.0211 2.0211 5.5211
2.0211 -2.0211 5.5211
2.0211 2.0211 -5.5211
Pa Ta Si Pd
1 1 2 1
Direct
0.0000 0.0000 0.0000 Pa
0.2500 0.7500 0.5000 Ta
0.3929 0.3929 0.0000 Si
0.6071 0.6071 0.0000 Si
0.7500 0.2500 0.5000 Pd
```

Computed properties:
**Total DFT energy (no corrections)**: -7.991 eV/atom
**E_form (uncorrected)**: -49.6 kJ/mol of atoms
**Volume**: 18.04 A^3/atom
**Mass density**: 10.6 g/cm3
**M_tot**: 0.00 μB/cell